Record 1
The following is a DFT calculation (PBE) of an optimized crystal structure of HfAs2Ir.

Values from the calculation:
For the calculated formation energy, the calculation gives -0.2520 eV/atom. As for the energy relative to the lowest polymorph listed for this composition: 0.013 eV per atom. Its final energy is -116.5 eV/cell. As for the crystal system: cubic. The calculation puts the density of states at the Fermi level at 13.10 states/eV per cell. The total magnetic moment is 0.00 Bohr magnetons per cell.

Cell lengths 6.464, 6.464, 6.464 Å; angles 90.00, 90.00, 90.00 degrees
Atoms (fractional coordinates):
Hf: 0.000 0.000 0.000
Hf: 0.000 0.500 0.500
Hf: 0.500 0.000 0.500
Hf: 0.500 0.500 0.000
As: 0.250 0.250 0.250
As: 0.250 0.250 0.750
As: 0.250 0.750 0.250
As: 0.250 0.750 0.750
As: 0.750 0.250 0.250
As: 0.750 0.250 0.750
As: 0.750 0.750 0.250
As: 0.750 0.750 0.750
Ir: 0.000 0.000 0.500
Ir: 0.000 0.500 0.000
Ir: 0.500 0.000 0.000
Ir: 0.500 0.500 0.500

Record 2
The following is a DFT calculation (PBE) of an optimized crystal structure of TbPtRh.

Values from the calculation:
For the calculated formation energy, the calculation gives -0.3011 eV/atom. As for the energy relative to the lowest polymorph listed for this composition: 0.639 eV per atom. Its final energy is -56.8 eV/cell. As for the crystal system: trigonal. The calculation puts the density of states at the Fermi level at 14.99 states/eV per cell. The total magnetic moment is 0.00 Bohr magnetons per cell.

Cell lengths 3.984, 3.984, 14.401 Å; angles 90.00, 90.00, 120.00 degrees
Atoms (fractional coordinates):
Tb: 0.000 0.000 0.000
Tb: 0.333 0.667 0.667
Tb: 0.667 0.333 0.333
Pt: 0.000 0.000 0.210
Pt: 0.333 0.667 0.877
Pt: 0.667 0.333 0.544
Rh: 0.000 0.000 0.790
Rh: 0.333 0.667 0.456
Rh: 0.667 0.333 0.123

Record 3
The following is a DFT calculation (PBE) of an optimized crystal structure of Nd4CdIr.

Values from the calculation:
For the calculated formation energy, the calculation gives -0.3443 eV/atom. As for the energy relative to the lowest polymorph listed for this composition: 0.099 eV per atom. Its final energy is -61.8 eV/cell. As for the crystal system: monoclinic. The calculation puts the density of states at the Fermi level at 15.41 states/eV per cell. The total magnetic moment is 0.00 Bohr magnetons per cell.

Cell lengths 8.062, 8.062, 6.237 Å; angles 99.53, 99.53, 112.11 degrees
Atoms (fractional coordinates):
Nd: 0.064 0.716 0.951
Nd: 0.201 0.363 0.606
Nd: 0.284 0.936 0.549
Nd: 0.363 0.201 0.106
Nd: 0.637 0.799 0.894
Nd: 0.716 0.064 0.451
Nd: 0.799 0.637 0.394
Nd: 0.936 0.284 0.049
Cd: 0.380 0.620 0.250
Cd: 0.620 0.380 0.750
Ir: 0.001 0.999 0.250
Ir: 0.999 0.001 0.750

Record 4
The following is a DFT calculation (PBE) of an optimized crystal structure of Dy4FeSn8.

Values from the calculation:
For the calculated formation energy, the calculation gives -0.4936 eV/atom. Its final energy is -65.3 eV/cell. As for the crystal system: orthorhombic. The calculation puts the density of states at the Fermi level at 8.34 states/eV per cell. The total magnetic moment is 1.45 Bohr magnetons per cell.

Cell lengths 4.426, 4.488, 16.482 Å; angles 90.00, 90.00, 90.00 degrees
Atoms (fractional coordinates):
Dy: 0.000 0.000 0.000
Dy: 0.000 0.500 0.491
Dy: 0.500 0.000 0.792
Dy: 0.500 0.500 0.297
Fe: 0.000 0.500 0.701
Sn: 0.000 0.000 0.329
Sn: 0.000 0.000 0.633
Sn: 0.000 0.500 0.148
Sn: 0.000 0.500 0.851
Sn: 0.500 0.000 0.151
Sn: 0.500 0.000 0.457
Sn: 0.500 0.500 0.631
Sn: 0.500 0.500 0.973

Record 5
The following is a DFT calculation (PBE) of an optimized crystal structure of Ni3PbCl.

Values from the calculation:
As for the energy relative to the lowest polymorph listed for this composition: 0.740 eV per atom. Its final energy is -16.8 eV/cell. As for the crystal system: cubic. For the uncorrected formation energy, the calculation gives 1.23 eV per atom. The calculation puts the density of states at the Fermi level at 7.83 states/eV per cell. The total magnetic moment is 0.00 Bohr magnetons per cell.

Cell lengths 4.875, 4.875, 4.875 Å; angles 90.00, 90.00, 90.00 degrees
Atoms (fractional coordinates):
Ni: 0.000 0.000 0.500
Ni: 0.000 0.500 0.000
Ni: 0.500 0.000 0.000
Pb: 0.000 0.000 0.000
Cl: 0.500 0.500 0.500

Record 6
The following is a DFT calculation (PBE) of an optimized crystal structure of CaGe2Mo2.

Values from the calculation:
For the calculated formation energy, the calculation gives -0.0192 eV/atom. As for the energy relative to the lowest polymorph listed for this composition: 0.231 eV per atom. Its final energy is -66.0 eV/cell. As for the crystal system: tetragonal. The calculation puts the density of states at the Fermi level at 6.47 states/eV per cell. The total magnetic moment is 0.00 Bohr magnetons per cell.

Cell lengths 7.350, 7.350, 3.270 Å; angles 90.00, 90.00, 90.00 degrees
Atoms (fractional coordinates):
Ca: 0.000 0.000 0.000
Ca: 0.500 0.500 0.000
Ge: 0.140 0.360 0.000
Ge: 0.360 0.860 0.000
Ge: 0.640 0.140 0.000
Ge: 0.860 0.640 0.000
Mo: 0.147 0.647 0.500
Mo: 0.353 0.147 0.500
Mo: 0.647 0.853 0.500
Mo: 0.853 0.353 0.500